Record 1
Below is a geometry-optimized Tb12Pd3O5 structure, with properties calculated at the GGA-PBE level.

Unit cell a=13.253 b=13.253 c=13.253 alpha=109.47 beta=109.47 gamma=109.47
Positions (direct):
Tb 0.705 0.590 0.186
Tb 0.295 0.886 0.981
Tb 0.186 0.090 0.705
Tb 0.295 0.410 0.814
Tb 0.795 0.314 0.910
Tb 0.095 0.910 0.114
Tb 0.814 0.905 0.019
Tb 0.481 0.686 0.095
Tb 0.019 0.405 0.814
Tb 0.590 0.886 0.405
Tb 0.205 0.686 0.090
Tb 0.186 0.095 0.981
Tb 0.595 0.614 0.410
Tb 0.886 0.295 0.481
Tb 0.114 0.410 0.095
Tb 0.410 0.295 0.314
Tb 0.114 0.705 0.519
Tb 0.910 0.095 0.614
Tb 0.614 0.019 0.205
Tb 0.686 0.205 0.590
Tb 0.905 0.814 0.519
Tb 0.386 0.405 0.090
Tb 0.095 0.186 0.481
Tb 0.314 0.519 0.405
Tb 0.795 0.481 0.386
Tb 0.019 0.614 0.705
Tb 0.386 0.981 0.795
Tb 0.981 0.595 0.186
Tb 0.410 0.114 0.595
Tb 0.090 0.186 0.205
Tb 0.314 0.795 0.410
Tb 0.405 0.019 0.314
Tb 0.205 0.519 0.614
Tb 0.595 0.981 0.686
Tb 0.814 0.910 0.295
Tb 0.481 0.795 0.886
Tb 0.705 0.114 0.019
Tb 0.519 0.205 0.114
Tb 0.519 0.314 0.905
Tb 0.910 0.814 0.795
Tb 0.614 0.595 0.910
Tb 0.981 0.386 0.295
Tb 0.886 0.590 0.905
Tb 0.686 0.481 0.595
Tb 0.590 0.705 0.686
Tb 0.405 0.386 0.590
Tb 0.090 0.905 0.386
Tb 0.905 0.090 0.886
Pd 0.875 0.750 0.125
Pd 0.750 0.875 0.625
Pd 0.250 0.125 0.375
Pd 0.375 0.625 0.250
Pd 0.625 0.375 0.750
Pd 0.125 0.875 0.750
Pd 0.625 0.250 0.375
Pd 0.875 0.125 0.250
Pd 0.250 0.625 0.875
Pd 0.375 0.750 0.625
Pd 0.125 0.250 0.875
Pd 0.750 0.375 0.125
O 0.125 0.375 0.250
O 0.000 0.500 0.000
O 0.375 0.250 0.125
O 0.000 0.000 0.500
O 0.875 0.625 0.750
O 0.625 0.750 0.875
O 0.875 0.250 0.625
O 0.000 0.500 0.500
O 0.000 0.000 0.000
O 0.250 0.875 0.125
O 0.750 0.125 0.875
O 0.500 0.500 0.000
O 0.500 0.500 0.500
O 0.625 0.875 0.250
O 0.500 0.000 0.500
O 0.125 0.750 0.375
O 0.250 0.375 0.625
O 0.375 0.125 0.750
O 0.500 0.000 0.000
O 0.750 0.625 0.375

Computed properties:
Uncorrected energy: -128.5 eV/f.u.
Symmetry: Ia-3d, No. 230
ΔE_f (raw): -1626 meV per atom
Crystal system: cubic

=====

Record 2
Below is a geometry-optimized KTaSeO6 structure, with properties calculated at the GGA-PBE level.

Unit cell a=5.181 b=5.181 c=11.988 alpha=90.00 beta=90.00 gamma=120.00
Positions (direct):
O 0.624 0.024 0.839
O 0.624 0.600 0.661
O 0.400 0.024 0.661
O 0.376 0.400 0.339
O 0.600 0.976 0.339
O 0.024 0.624 0.339
O 0.976 0.376 0.661
O 0.976 0.600 0.839
O 0.024 0.400 0.161
O 0.376 0.976 0.161
O 0.400 0.376 0.839
O 0.600 0.624 0.161
Se 0.333 0.667 0.250
Se 0.667 0.333 0.750
Ta 0.667 0.333 0.250
Ta 0.333 0.667 0.750
K 0.000 0.000 0.000
K 0.000 0.000 0.500

Computed properties:
Uncorrected energy: -61.2 eV/f.u.
Symmetry: P-31c, No. 163
ΔE_f (raw): -1669 meV per atom
Crystal system: trigonal

=====

uncorrected energy of number 2 (KTaSeO6)? -61.2 eV/f.u.